VASP calculation (GGA-PBE) on a relaxed Ho6ThTl crystal.

a = 4.9027 Å, b = 4.9027 Å, c = 9.9399 Å
α = 90.00°, β = 90.00°, γ = 90.00°
Space group P4/mmm (No. 123)
Symmetry-distinct sites (fractional):
1 Ho 0.0000 0.0000 0.0000 x1
2 Ho 0.0000 0.0000 0.5000 x1
3 Ho 0.0000 0.5000 0.2472 x4
4 Th 0.5000 0.5000 0.5000 x1
5 Tl 0.5000 0.5000 0.0000 x1

Values from the calculation:
- D(E_F) (states/eV/atom) = 1.59
- energy of formation (eV/atom) = -0.051
- crystal system = tetragonal